{"formula": "Dy4TeC2", "functional": "GGA-PBE", "state": "relaxed", "lattice_angstrom": [[-3.322, 0.607, 1.768], [1.902, -6.006, 1.526], [6.237, 4.555, 10.155]], "species": ["Te", "Dy", "C", "Te", "Dy", "Dy", "Dy", "Dy", "Dy", "C", "C", "C", "Dy", "Dy"], "fractional_positions": [[0.392, 0.784, 0.250], [0.242, 0.484, 0.898], [0.136, 0.272, 0.441], [0.608, 0.216, 0.750], [0.242, 0.484, 0.602], [0.500, 0.000, 0.000], [0.758, 0.516, 0.398], [0.758, 0.516, 0.102], [0.917, 0.833, 0.750], [0.864, 0.728, 0.559], [0.864, 0.728, 0.941], [0.136, 0.272, 0.059], [0.500, 0.000, 0.500], [0.083, 0.167, 0.250]], "volume_a3_per_cell": 301.3, "polymorph_energy_mev_per_atom": 0, "n_ef_per_ev_cell": 6.10, "raw_formation_energy_ev_per_atom": -0.60}